Record 1
# AlMo2Pb PBE optimized geometry
data_AlMo2Pb
_space_group_name_H-M_alt 'C m m m'
_space_group_IT_number 65
_space_group_name_Hall '-C 2 2'
_cell_length_a 3.4723
_cell_length_b 4.6841
_cell_length_c 8.8563
_cell_angle_alpha 90.00
_cell_angle_beta 90.00
_cell_angle_gamma 90.00
loop_
_atom_site_label
_atom_site_type_symbol
_atom_site_fract_x
_atom_site_fract_y
_atom_site_fract_z
Al1 Al 0.0000 0.0000 0.0000
Mo1 Mo 0.0000 0.5000 0.2276
Pb1 Pb 0.0000 0.0000 0.5000
# **ΔE_f**: 0.51 eV/atom



Record 2
# AlMo2Pb PBE optimized geometry
data_AlMo2Pb
_space_group_name_H-M_alt 'P 1 2/m 1'
_space_group_IT_number 10
_cell_length_a 2.9529
_cell_length_b 4.2020
_cell_length_c 6.2418
_cell_angle_alpha 90.00
_cell_angle_beta 102.88
_cell_angle_gamma 90.00
loop_
_space_group_symop_operation_xyz
'x,y,z'
'-x,-y,-z'
'-x,y,-z'
'x,-y,z'
loop_
_atom_site_label
_atom_site_type_symbol
_atom_site_fract_x
_atom_site_fract_y
_atom_site_fract_z
Al1 Al 0.0000 0.0000 0.0000
Mo1 Mo 0.4856 0.5000 0.1918
Pb1 Pb 0.0000 0.0000 0.5000
# **ΔE_f**: 0.42 eV/atom



Record 3
# Al2MoPb PBE optimized geometry
data_Al2MoPb
_space_group_name_H-M_alt 'P 4 m m'
_space_group_IT_number 99
_cell_length_a 3.5656
_cell_length_b 3.5656
_cell_length_c 5.8353
_cell_angle_alpha 90.00
_cell_angle_beta 90.00
_cell_angle_gamma 90.00
loop_
_space_group_symop_operation_xyz
'x,y,z'
'-y,x,z'
'-x,-y,z'
'y,-x,z'
'-x,y,z'
'y,x,z'
'x,-y,z'
'-y,-x,z'
loop_
_atom_site_label
_atom_site_type_symbol
_atom_site_fract_x
_atom_site_fract_y
_atom_site_fract_z
Al1 Al 0.0000 0.0000 0.0000
Al2 Al 0.5000 0.5000 0.2403
Mo1 Mo 0.0000 0.0000 0.4368
Pb1 Pb 0.5000 0.5000 0.7213
# **ΔE_f**: 0.22 eV/atom



Record 4
# AlMoPb2 PBE optimized geometry
data_AlMoPb2
_space_group_name_H-M_alt 'C 1 2/m 1'
_space_group_IT_number 12
_cell_length_a 10.5222
_cell_length_b 3.1456
_cell_length_c 5.3608
_cell_angle_alpha 90.00
_cell_angle_beta 95.49
_cell_angle_gamma 90.00
loop_
_space_group_symop_operation_xyz
'x,y,z'
'-x,-y,-z'
'-x,y,-z'
'x,-y,z'
'x+1/2,y+1/2,z'
'-x+1/2,-y+1/2,-z'
'-x+1/2,y+1/2,-z'
'x+1/2,-y+1/2,z'
loop_
_atom_site_label
_atom_site_type_symbol
_atom_site_fract_x
_atom_site_fract_y
_atom_site_fract_z
Al1 Al 0.0000 0.0000 0.0000
Mo1 Mo 0.0000 0.5000 0.5000
Pb1 Pb 0.2366 0.0000 0.7425
# **ΔE_f**: 0.64 eV/atom



Record 5
# AlMoPb2 PBE optimized geometry
data_AlMoPb2
_space_group_name_H-M_alt 'C 1 m 1'
_space_group_IT_number 8
_cell_length_a 11.2543
_cell_length_b 3.0003
_cell_length_c 5.5249
_cell_angle_alpha 90.00
_cell_angle_beta 106.93
_cell_angle_gamma 90.00
loop_
_space_group_symop_operation_xyz
'x,y,z'
'x,-y,z'
'x+1/2,y+1/2,z'
'x+1/2,-y+1/2,z'
loop_
_atom_site_label
_atom_site_type_symbol
_atom_site_fract_x
_atom_site_fract_y
_atom_site_fract_z
Al1 Al 0.0000 0.0000 0.0000
Mo1 Mo 0.1768 0.5000 0.3081
Pb1 Pb 0.2402 0.0000 0.8370
Pb2 Pb 0.4355 0.0000 0.4649
# **ΔE_f**: 0.52 eV/atom



Record 6
# AlMoPb2 PBE optimized geometry
data_AlMoPb2
_space_group_name_H-M_alt 'P 4/m m m'
_space_group_IT_number 123
_space_group_name_Hall '-P 4 2'
_cell_length_a 3.7601
_cell_length_b 3.7601
_cell_length_c 6.1344
_cell_angle_alpha 90.00
_cell_angle_beta 90.00
_cell_angle_gamma 90.00
loop_
_atom_site_label
_atom_site_type_symbol
_atom_site_fract_x
_atom_site_fract_y
_atom_site_fract_z
Al1 Al 0.0000 0.0000 0.0000
Mo1 Mo 0.0000 0.0000 0.5000
Pb1 Pb 0.5000 0.5000 0.2559
# **ΔE_f**: 0.60 eV/atom



no.,calculated density (kg/m3),M_tot (μB per cell)
1,9823,0.00
2,9371,0.00
3,7993,0.00
4,10103,0.00
5,9999,0.00
6,10288,0.00